No. 1
Entry from Alexandria: crystalline UCd2O5 at its relaxed geometry (PBE).

Computed properties:
formation energy (no corrections)	-2.082	eV per atom
DOS at the Fermi energy	0.00	states/eV/f.u.

a b c (Å): 6.4734 6.4734 8.1668
angles (deg): 71.29 71.29 49.41
Element x y z (fractional)
O1 0.1908 0.8092 0.2500
O2 0.0065 0.6646 0.6363
O3 0.3839 0.7972 0.5331
O4 0.6646 0.0065 0.1363
O5 0.2028 0.6161 0.9669
O6 0.3354 0.9935 0.8637
O7 0.9935 0.3354 0.3637
O8 0.8092 0.1908 0.7500
O9 0.6161 0.2028 0.4669
O10 0.7972 0.3839 0.0331
U1 0.0000 0.0000 0.0000
U2 0.0000 0.0000 0.5000
Cd1 0.6306 0.6707 0.2231
Cd2 0.3694 0.3293 0.7769
Cd3 0.6707 0.6306 0.7231
Cd4 0.3293 0.3694 0.2769

No. 2
Entry from Alexandria: crystalline NbIrSeBr2 at its relaxed geometry (PBE).

Computed properties:
formation energy (no corrections)	0.849	eV per atom
DOS at the Fermi energy	6.09	states/eV/f.u.

a b c (Å): 4.9873 4.9873 4.9816
angles (deg): 90.00 90.00 90.00
Last column: magnetic moment on the atom in μB.
Element x y z (fractional)
Se1 0.0000 0.0000 0.5000  -0.20
Nb1 0.5000 0.5000 0.5000  2.67
Br1 0.0000 0.5000 0.0000  -0.04
Br2 0.5000 0.0000 0.0000  -0.04
Ir1 0.0000 0.0000 0.0000  -0.20

No. 3
Entry from Alexandria: crystalline MnSn2PdCl at its relaxed geometry (PBE).

Computed properties:
formation energy (no corrections)	0.303	eV per atom
DOS at the Fermi energy	4.99	states/eV/f.u.

a b c (Å): 5.0683 4.5475 5.0683
angles (deg): 90.00 90.00 90.00
Element x y z (fractional)
Sn1 0.5000 0.0000 0.0000
Sn2 0.0000 0.0000 0.5000
Mn1 0.0000 0.0000 0.0000
Pd1 0.0000 0.5000 0.0000
Cl1 0.5000 0.5000 0.5000

No. 4
Entry from Alexandria: crystalline PrYPuHg at its relaxed geometry (PBE).

Computed properties:
E_tot	-6.439	eV/atom
DOS at the Fermi energy	16.18	states/eV/f.u.

a b c (Å): 5.4606 5.4606 5.4606
angles (deg): 60.00 60.00 60.00
Last column: magnetic moment on the atom in μB.
Element x y z (fractional)
Pu1 0.2500 0.2500 0.2500  5.71
Y1 0.5000 0.5000 0.5000  0.24
Hg1 0.7500 0.7500 0.7500  -0.02
Pr1 0.0000 0.0000 0.0000  0.18

No. 5
Entry from Alexandria: crystalline BaZr2Al at its relaxed geometry (PBE).

Computed properties:
E_tot	-5.409	eV/atom
DOS at the Fermi energy	4.08	states/eV/f.u.

a b c (Å): 4.9628 3.2928 6.9021
angles (deg): 78.82 90.00 90.00
Element x y z (fractional)
Al1 0.5000 0.2500 0.2500
Ba1 0.5000 0.7500 0.7500
Zr1 0.0000 0.0550 0.0704
Zr2 0.0000 0.4450 0.4296

No. 6
Entry from Alexandria: crystalline Sc4Ni2Ag at its relaxed geometry (PBE).

Computed properties:
E_tot	-5.869	eV/atom
DOS at the Fermi energy	5.94	states/eV/f.u.

a b c (Å): 4.2166 4.2166 9.5746
angles (deg): 77.28 77.28 60.00
Element x y z (fractional)
Ni1 0.0980 0.0980 0.7060
Ni2 0.9020 0.9020 0.2940
Ag1 0.0000 0.0000 0.0000
Sc1 0.7993 0.7993 0.6022
Sc2 0.6099 0.6099 0.1702
Sc3 0.2007 0.2007 0.3978
Sc4 0.3901 0.3901 0.8298

No. 7
Entry from Alexandria: crystalline LiHo5Al3 at its relaxed geometry (PBE).

Computed properties:
E_tot	-4.252	eV/atom
DOS at the Fermi energy	5.77	states/eV/f.u.

a b c (Å): 6.4847 8.9677 8.9678
angles (deg): 120.00 90.00 90.00
Element x y z (fractional)
Li1 0.0000 0.0000 0.0000
Li2 0.5000 0.0000 0.0000
Ho1 0.0000 0.3334 0.6667
Ho2 0.5000 0.3334 0.6667
Ho3 0.2500 0.0000 0.6935
Ho4 0.0000 0.6666 0.3333
Ho5 0.2500 0.3065 0.3065
Ho6 0.7500 0.3065 0.0000
Ho7 0.7500 0.0000 0.3065
Ho8 0.2500 0.6935 0.0000
Ho9 0.7500 0.6935 0.6935
Ho10 0.5000 0.6666 0.3333
Al1 0.7500 0.0000 0.6454
Al2 0.7500 0.3546 0.3546
Al3 0.2500 0.0000 0.3546
Al4 0.7500 0.6454 0.0000
Al5 0.2500 0.6454 0.6454
Al6 0.2500 0.3546 0.0000

No. 8
Entry from Alexandria: crystalline InGaIBr at its relaxed geometry (PBE).

Computed properties:
formation energy (no corrections)	-0.412	eV per atom

a b c (Å): 5.7068 5.7068 5.7068
angles (deg): 60.00 60.00 60.00
Element x y z (fractional)
Br1 0.5000 0.5000 0.5000
In1 0.7500 0.7500 0.7500
I1 0.0000 0.0000 0.0000
Ga1 0.2500 0.2500 0.2500